[1]
Below is a relaxed Er3Co2Si3 crystal, with properties calculated at the PBE level.

Properties
As for the space-group type: Pnma, No. 62. As for the total magnetic moment: 0.000 μB per atom. As for the formation energy without anion corrections: -0.765 eV per atom.

Lattice parameters (Å, degrees): 5.525 7.647 13.588 90.00 90.00 90.00
Fractional coordinates of all 32 atoms:
Er: 0.126 0.457 0.388
Er: 0.626 0.043 0.612
Er: 0.874 0.543 0.888
Er: 0.374 0.957 0.112
Er: 0.874 0.543 0.612
Er: 0.374 0.957 0.388
Er: 0.126 0.457 0.112
Er: 0.626 0.043 0.888
Er: 0.627 0.310 0.250
Er: 0.127 0.190 0.750
Er: 0.373 0.690 0.750
Er: 0.873 0.810 0.250
Co: 0.893 0.089 0.412
Co: 0.393 0.411 0.588
Co: 0.107 0.911 0.912
Co: 0.607 0.589 0.088
Co: 0.107 0.911 0.588
Co: 0.607 0.589 0.412
Co: 0.893 0.089 0.088
Co: 0.393 0.411 0.912
Si: 0.093 0.159 0.250
Si: 0.593 0.341 0.750
Si: 0.907 0.841 0.750
Si: 0.407 0.659 0.250
Si: 0.635 0.306 0.460
Si: 0.135 0.194 0.540
Si: 0.365 0.694 0.960
Si: 0.865 0.806 0.040
Si: 0.365 0.694 0.540
Si: 0.865 0.806 0.460
Si: 0.635 0.306 0.040
Si: 0.135 0.194 0.960



[2]
Below is a relaxed Nd3Ni3Rh crystal, with properties calculated at the PBE level.

Properties
As for the space-group type: Cmcm, No. 63. The value obtained for the energy of formation is -0.390 eV per atom. As for the total magnetic moment: 0.000 μB per atom.

Lattice parameters (Å, degrees): 4.348 5.350 13.342 90.00 90.00 113.98
Fractional coordinates of all 14 atoms:
Nd: 0.228 0.457 0.900
Nd: 0.772 0.543 0.100
Nd: 0.228 0.457 0.600
Nd: 0.772 0.543 0.400
Nd: 0.521 0.041 0.750
Nd: 0.479 0.959 0.250
Ni: 0.936 0.873 0.913
Ni: 0.064 0.127 0.087
Ni: 0.936 0.873 0.587
Ni: 0.064 0.127 0.413
Ni: 0.818 0.636 0.750
Ni: 0.182 0.364 0.250
Rh: 0.500 0.000 0.000
Rh: 0.500 0.000 0.500



[3]
Below is a relaxed Tl6ZnPd12 crystal, with properties calculated at the PBE level.

Properties
As for the space-group type: R-3, No. 148. The value obtained for the energy of formation is -0.162 eV per atom. As for the total magnetic moment: 0.000 μB per atom.

Lattice parameters (Å, degrees): 7.483 7.483 7.483 106.26 106.26 106.26
Fractional coordinates of all 19 atoms:
Tl: 0.788 0.901 0.529
Tl: 0.471 0.212 0.099
Tl: 0.099 0.471 0.212
Tl: 0.212 0.099 0.471
Tl: 0.529 0.788 0.901
Tl: 0.901 0.529 0.788
Zn: 0.000 0.000 0.000
Pd: 0.821 0.520 0.397
Pd: 0.397 0.821 0.520
Pd: 0.520 0.397 0.821
Pd: 0.179 0.480 0.603
Pd: 0.603 0.179 0.480
Pd: 0.480 0.603 0.179
Pd: 0.870 0.740 0.154
Pd: 0.260 0.846 0.130
Pd: 0.846 0.130 0.260
Pd: 0.130 0.260 0.846
Pd: 0.740 0.154 0.870
Pd: 0.154 0.870 0.740



[4]
Below is a relaxed Ca2PbF7 crystal, with properties calculated at the PBE level.

Properties
As for the space-group type: I4/mmm, No. 139. As for the total magnetic moment: 0.009 μB per atom. As for the formation energy without anion corrections: -3.059 eV per atom.

Lattice parameters (Å, degrees): 3.880 3.880 9.246 102.11 102.11 90.00
Site moments in Bohr magnetons follow the coordinates.
Fractional coordinates of all 10 atoms:
Ca: 0.672 0.672 0.343  0.00
Ca: 0.328 0.328 0.657  0.00
Pb: 0.000 0.000 0.000  0.01
F: 0.096 0.596 0.192  0.01
F: 0.404 0.904 0.808  0.01
F: 0.596 0.096 0.192  0.01
F: 0.500 0.500 0.000  0.06
F: 0.750 0.250 0.500  0.00
F: 0.904 0.404 0.808  0.01
F: 0.250 0.750 0.500  0.00



[5]
Below is a relaxed Er4CdCuPd2 crystal, with properties calculated at the PBE level.

Properties
As for the space-group type: R-3m, No. 166. The value obtained for the energy of formation is -0.591 eV per atom. As for the total magnetic moment: 0.000 μB per atom.

Lattice parameters (Å, degrees): 4.990 4.990 8.630 73.19 73.19 60.00
Fractional coordinates of all 8 atoms:
Er: 0.380 0.380 0.859
Er: 0.870 0.870 0.389
Er: 0.130 0.130 0.611
Er: 0.620 0.620 0.141
Cd: 0.000 0.000 0.000
Cu: 0.500 0.500 0.500
Pd: 0.747 0.747 0.760
Pd: 0.253 0.253 0.240



[6]
Below is a relaxed LaPuPd2 crystal, with properties calculated at the PBE level.

Properties
As for the space-group type: P4/mmm, No. 123. The value obtained for the energy of formation is -0.569 eV per atom. As for the total magnetic moment: 1.464 μB per atom.

Lattice parameters (Å, degrees): 3.571 5.114 5.114 90.00 90.00 90.00
Site moments in Bohr magnetons follow the coordinates.
Fractional coordinates of all 4 atoms:
La: 0.500 0.500 0.500  0.08
Pd: 0.000 0.000 0.500  -0.01
Pd: 0.000 0.500 0.000  -0.01
Pu: 0.500 0.000 0.000  5.39



[7]
Below is a relaxed TlSnAsF6 crystal, with properties calculated at the PBE level.

Properties
As for the space-group type: P1, No. 1. As for the total magnetic moment: 0.000 μB per atom. As for the formation energy without anion corrections: -2.131 eV per atom.

Lattice parameters (Å, degrees): 6.599 6.609 4.683 90.10 90.11 59.86
Fractional coordinates of all 9 atoms:
Tl: 0.000 0.000 0.931
Sn: 0.666 0.667 0.441
As: 0.333 0.334 0.540
F: 0.138 0.281 0.316
F: 0.414 0.935 0.712
F: 0.651 0.415 0.712
F: 0.935 0.651 0.711
F: 0.281 0.581 0.317
F: 0.582 0.137 0.319



[8]
Below is a relaxed CsK2TlC crystal, with properties calculated at the PBE level.

Properties
As for the space-group type: P4/mmm, No. 123. The value obtained for the energy of formation is 1.294 eV per atom. As for the total magnetic moment: 0.058 μB per atom.

Lattice parameters (Å, degrees): 6.951 6.951 4.861 90.00 90.00 90.00
Site moments in Bohr magnetons follow the coordinates.
Fractional coordinates of all 5 atoms:
Cs: 0.000 0.000 0.000  0.01
C: 0.000 0.000 0.500  0.24
Tl: 0.500 0.500 0.500  -0.04
K: 0.000 0.500 0.000  0.00
K: 0.500 0.000 0.000  0.00



| no. | D(E_F) (states/eV/f.u.) |
| --- | --- |
| 1 | 4.8 |
| 2 | 4.8 |
| 3 | 9.2 |
| 4 | 5.4 |
| 5 | 4.3 |
| 6 | 12.3 |
| 7 | 0.0 |
| 8 | 2.5 |